Density functional theory data (PBE with a Hubbard U) for a relaxed structure of ZrMnO3.

a = 5.478 Å, b = 5.819 Å, c = 5.478 Å
α = 118.08°, β = 120.00°, γ = 61.92°
Last column: magnetic moment on the atom in μB.
Element x y z (fractional)
Zr  0.796  0.612  0.204  0.03
Zr  0.296  0.112  0.704  0.03
Mn  0.512  0.464  0.488  4.63
Mn  0.012  0.964  0.988  4.63
O  0.186  0.308  0.415  0.04
O  0.921  0.308  0.814  0.04
O  0.421  0.808  0.915  0.04
O  0.585  0.308  0.079  0.04
O  0.085  0.808  0.314  0.04
O  0.686  0.808  0.579  0.04

SG ... R3c (161)
Crystal system ... trigonal
E_tot ... -8.8180 eV/atom
DOS(E_F) ... 0.0000 states/eV/atom